[1]
# SrInCl | the Alexandria database | PBE-GGA | relaxed
# formation energy without anion corrections	-0.405	eV per atom
# relative energy among the computed polymorphs	0.568	eV/atom
# V	39.447	Å³ per atom
data_SrInCl
_chemical_formula_sum 'Sr4 In4 Cl4'
_space_group_name_H-M_alt 'P 1'
_space_group_IT_number 1
_cell_length_a 7.7935
_cell_length_b 7.7935
_cell_length_c 7.7935
_cell_angle_alpha 90.00
_cell_angle_beta 90.00
_cell_angle_gamma 90.00
loop_
_space_group_symop_operation_xyz
'x,y,z'
loop_
_atom_site_label
_atom_site_type_symbol
_atom_site_fract_x
_atom_site_fract_y
_atom_site_fract_z
Sr1 Sr 0.0000 0.0000 0.0000
Sr2 Sr 0.0000 0.5000 0.5000
Sr3 Sr 0.5000 0.0000 0.5000
Sr4 Sr 0.5000 0.5000 0.0000
In1 In 0.2500 0.2500 0.7500
In2 In 0.2500 0.7500 0.2500
In3 In 0.7500 0.2500 0.2500
In4 In 0.7500 0.7500 0.7500
Cl1 Cl 0.0000 0.0000 0.5000
Cl2 Cl 0.0000 0.5000 0.0000
Cl3 Cl 0.5000 0.0000 0.0000
Cl4 Cl 0.5000 0.5000 0.5000

---

[2]
# Ti2CrPb | the Alexandria database | PBE-GGA | relaxed
# V	19.586	Å³ per atom
# formation energy from the elements	0.63	eV/atom
data_Ti2CrPb
_chemical_formula_sum 'Ti8 Cr4 Pb4'
_space_group_name_H-M_alt 'P 1'
_space_group_IT_number 1
_cell_length_a 3.9725
_cell_length_b 3.9725
_cell_length_c 19.8574
_cell_angle_alpha 90.00
_cell_angle_beta 90.00
_cell_angle_gamma 90.00
loop_
_space_group_symop_operation_xyz
'x,y,z'
loop_
_atom_site_label
_atom_site_type_symbol
_atom_site_fract_x
_atom_site_fract_y
_atom_site_fract_z
Ti1 Ti 0.2419 0.2500 0.1250
Ti2 Ti 0.2500 0.7419 0.3750
Ti3 Ti 0.2500 0.7581 0.8750
Ti4 Ti 0.2581 0.2500 0.6250
Ti5 Ti 0.7419 0.7500 0.6250
Ti6 Ti 0.7500 0.2419 0.8750
Ti7 Ti 0.7500 0.2581 0.3750
Ti8 Ti 0.7581 0.7500 0.1250
Cr1 Cr 0.0000 0.0000 0.0000
Cr2 Cr 0.0000 0.5000 0.2500
Cr3 Cr 0.5000 0.0000 0.7500
Cr4 Cr 0.5000 0.5000 0.5000
Pb1 Pb 0.0000 0.0000 0.5000
Pb2 Pb 0.0000 0.5000 0.7500
Pb3 Pb 0.5000 0.0000 0.2500
Pb4 Pb 0.5000 0.5000 0.0000

---

[3]
# Mo2RuAu | the Alexandria database | PBE-GGA | relaxed
# relative energy among the computed polymorphs	0.055	eV/atom
# V	15.630	Å³ per atom
# formation energy from the elements	0.15	eV/atom
data_Mo2RuAu
_chemical_formula_sum 'Mo2 Ru1 Au1'
_space_group_name_H-M_alt 'P 1'
_space_group_IT_number 1
_cell_length_a 2.8425
_cell_length_b 4.4879
_cell_length_c 4.9010
_cell_angle_alpha 90.00
_cell_angle_beta 90.00
_cell_angle_gamma 90.00
loop_
_space_group_symop_operation_xyz
'x,y,z'
loop_
_atom_site_label
_atom_site_type_symbol
_atom_site_fract_x
_atom_site_fract_y
_atom_site_fract_z
Mo1 Mo 0.0000 0.0000 0.0000
Mo2 Mo 0.0000 0.5000 0.3246
Ru1 Ru 0.5000 0.5000 0.8402
Au1 Au 0.5000 0.0000 0.5014

---

[4]
# NdSm2Cu | the Alexandria database | PBE-GGA | relaxed
# relative energy among the computed polymorphs	0.118	eV/atom
# V	29.568	Å³ per atom
# formation energy from the elements	0.05	eV/atom
data_NdSm2Cu
_chemical_formula_sum 'Nd3 Sm6 Cu3'
_space_group_name_H-M_alt 'P 1'
_space_group_IT_number 1
_cell_length_a 3.6670
_cell_length_b 3.6670
_cell_length_c 30.4673
_cell_angle_alpha 90.00
_cell_angle_beta 90.00
_cell_angle_gamma 120.00
loop_
_space_group_symop_operation_xyz
'x,y,z'
loop_
_atom_site_label
_atom_site_type_symbol
_atom_site_fract_x
_atom_site_fract_y
_atom_site_fract_z
Nd1 Nd 0.0000 0.0000 0.0000
Nd2 Nd 0.3333 0.6667 0.6667
Nd3 Nd 0.6667 0.3333 0.3333
Sm1 Sm 0.0000 0.0000 0.2341
Sm2 Sm 0.0000 0.0000 0.7659
Sm3 Sm 0.3333 0.6667 0.4326
Sm4 Sm 0.3333 0.6667 0.9007
Sm5 Sm 0.6667 0.3333 0.0993
Sm6 Sm 0.6667 0.3333 0.5674
Cu1 Cu 0.0000 0.0000 0.5000
Cu2 Cu 0.3333 0.6667 0.1667
Cu3 Cu 0.6667 0.3333 0.8333

---

Among the records above, which one has the lowest V? Mo2RuAu

---

Among the records above, which one has the highest V? SrInCl

---

The highest V belongs to which entry? SrInCl

---

The lowest V belongs to which entry? Mo2RuAu